Record 1
Entry from the Alexandria database: a relaxed ZnSbP2 crystal (GGA-PBE).

Cell: 3.394 4.620 4.673 Å, 90.00 90.00 90.00°
Sites, in units of the cell vectors:
P 0.000 0.000 0.000
Zn 0.000 0.500 0.500
Sb 0.500 0.000 0.500
P 0.500 0.500 0.000

Output
Its space group is No. 47.

Record 2
Entry from the Alexandria database: a relaxed Zn2SbP crystal (GGA-PBE).

Cell: 5.135 5.135 5.135 Å, 138.09 117.77 77.87°
Sites, in units of the cell vectors:
Sb 0.500 0.000 0.500
P 0.000 0.500 0.500
Zn 0.784 0.784 0.000
Zn 0.216 0.216 0.000

Output
Its space group is No. 71.

Record 3
Entry from the Alexandria database: a relaxed Zn2SbP crystal (GGA-PBE).

Cell: 5.961 5.961 6.857 Å, 64.24 64.24 90.00°
Sites, in units of the cell vectors:
P 0.250 0.750 0.500
P 0.500 0.500 0.000
Zn 0.875 0.821 0.750
Sb 0.000 0.000 0.000
Zn 0.179 0.625 0.250
Sb 0.750 0.250 0.500
Zn 0.375 0.429 0.750
Zn 0.571 0.125 0.250

Output
Its space group is No. 122.

| no. | ρ (g/cm³) | calculated total energy (Ha/atom) |
| --- | --- | --- |
| 1 | 5.65 | -0.1289 |
| 2 | 6.05 | -0.1016 |
| 3 | 4.90 | -0.1081 |